A) Density functional theory data (PBE) for Rb2InSn after structural relaxation.

Output
V: 689 Å³ per cell
Crystal system: orthorhombic

abc: 11.603 9.039 6.574
angles: 90.00 90.00 90.00
Space group Cmcm (No. 63)
Asymmetric unit:
Rb 0.172 0.150 0.250
In 0.000 0.500 0.000
Sn 0.000 0.234 0.750

=====

B) Density functional theory data (PBE) for Rb2InSn after structural relaxation.

Output
V: 1093 Å³ per cell
Crystal system: tetragonal

abc: 13.833 13.833 5.711
angles: 90.00 90.00 90.00
Space group I-42d (No. 122)
Asymmetric unit:
Rb 0.071 0.250 0.125
In 0.000 0.000 0.500
Sn 0.000 0.000 0.000

=====

C) Density functional theory data (PBE) for Rb2InSn after structural relaxation.

Output
V: 394 Å³ per cell
Crystal system: orthorhombic

abc: 4.898 11.245 7.147
angles: 90.00 90.00 90.00
Space group Imm2 (No. 44)
Asymmetric unit:
Rb 0.000 0.183 0.000
In 0.000 0.000 0.485
Sn 0.000 0.500 0.193

=====

D) Density functional theory data (PBE) for Rb2InSn after structural relaxation.

Output
V: 668 Å³ per cell
Crystal system: cubic

abc: 8.740 8.740 8.740
angles: 90.00 90.00 90.00
Space group Fm-3m (No. 225)
Asymmetric unit:
Rb 0.250 0.250 0.250
In 0.000 0.000 0.000
Sn 0.000 0.000 0.500

=====

Tell me which of them is the least stable. Sure, it is D).

=====

A) Density functional theory data (PBE) for Rb3In4Sn4 after structural relaxation.

Output
V: 813 Å³ per cell
Crystal system: cubic

abc: 9.334 9.334 9.334
angles: 90.00 90.00 90.00
Space group I-43m (No. 217)
Asymmetric unit:
Rb 0.000 0.000 0.500
In 0.156 0.156 0.844
Sn 0.163 0.163 0.163

=====

B) Density functional theory data (PBE) for Rb3In4Sn4 after structural relaxation.

Output
V: 815 Å³ per cell
Crystal system: orthorhombic

abc: 4.963 5.654 29.050
angles: 90.00 90.00 90.00
Space group Immm (No. 71)
Asymmetric unit:
Rb 0.000 0.000 0.000
Rb 0.000 0.500 0.354
In 0.000 0.000 0.244
In 0.000 0.500 0.098
Sn 0.000 0.000 0.451
Sn 0.000 0.500 0.198

=====

Tell me which of them is the least stable. Sure, it is B).

=====

A) Density functional theory data (PBE) for RbIn2Sn3 after structural relaxation.

Output
V: 380 Å³ per cell
Crystal system: triclinic

abc: 5.317 7.954 9.690
angles: 104.69 105.85 90.09
Space group P-1 (No. 2)
Asymmetric unit:
Rb 0.114 0.179 0.228
In 0.232 0.651 0.469
In 0.469 0.175 0.937
Sn 0.062 0.659 0.125
Sn 0.295 0.053 0.590
Sn 0.371 0.463 0.737

=====

B) Density functional theory data (PBE) for RbIn2Sn3 after structural relaxation.

Output
V: 197 Å³ per cell
Crystal system: hexagonal

abc: 6.6481 6.6481 5.1447
angles: 90.00 90.00 120.00
Space group P6/mmm (No. 191)
Asymmetric unit:
Rb 0.0000 0.0000 0.0000
In 0.3333 0.6667 0.0000
Sn 0.0000 0.5000 0.5000

=====

Tell me which of them is the least stable. Sure, it is B).

=====

A) Density functional theory data (PBE) for Rb2InSn5 after structural relaxation.

Output
V: 312 Å³ per cell
Crystal system: tetragonal

abc: 7.212 7.212 5.989
angles: 90.00 90.00 90.00
Space group P4/mmm (No. 123)
Asymmetric unit:
Rb 0.000 0.500 0.000
In 0.000 0.000 0.500
Sn 0.000 0.000 0.000
Sn 0.297 0.297 0.500

=====

B) Density functional theory data (PBE) for Rb2InSn5 after structural relaxation.

Output
V: 603 Å³ per cell
Crystal system: tetragonal

abc: 6.656 6.656 13.617
angles: 90.00 90.00 90.00
Space group I4mm (No. 107)
Asymmetric unit:
Rb 0.000 0.500 0.000
In 0.000 0.000 0.128
Sn 0.000 0.000 0.370
Sn 0.223 0.223 0.749

=====

Tell me which of them is the least stable. Sure, it is A).

=====

A) Density functional theory data (PBE) for RbIn2Sn6 after structural relaxation.

Output
V: 279 Å³ per cell
Crystal system: tetragonal

abc: 5.005 5.005 11.135
angles: 90.00 90.00 90.00
Space group P4/mmm (No. 123)
Asymmetric unit:
Rb 0.000 0.000 0.000
In 0.500 0.500 0.136
Sn 0.000 0.000 0.500
Sn 0.000 0.500 0.301
Sn 0.500 0.500 0.500

=====

B) Density functional theory data (PBE) for RbIn2Sn6 after structural relaxation.

Output
V: 1241 Å³ per cell
Crystal system: monoclinic

abc: 14.123 19.675 4.468
angles: 90.00 90.14 90.00
Space group C2/c (No. 15)
Asymmetric unit:
Rb 0.000 0.237 0.250
In 0.216 0.125 0.752
Sn 0.104 0.451 0.256
Sn 0.105 0.053 0.252
Sn 0.190 0.279 0.749

=====

Tell me which of them is the least stable. Sure, it is B).